AlBMoO5: relaxed, PBE with a Hubbard U.

Results
Mass density in g/cm³: 4.8
Total energy in eV per atom: -7.539
V in Å³/cell: 148.4
Density of states at the Fermi level in states/eV/cell: 0.00
Magnetic moment in μB per formula unit: 2.00
Space-group type: C2/c

Lattice parameters (Å, degrees): 5.047 5.047 6.602 104.41 104.41 104.84
Last column: magnetic moment on the atom in μB.
Sites, in units of the cell vectors:
O: 0.375 0.279 0.094  0.01
O: 0.669 0.125 0.380  -0.02
O: 0.875 0.331 0.120  -0.02
O: 0.918 0.082 0.750  -0.01
O: 0.331 0.875 0.620  -0.02
O: 0.279 0.375 0.594  0.01
O: 0.721 0.625 0.406  0.01
O: 0.082 0.918 0.250  -0.01
O: 0.625 0.721 0.906  0.01
O: 0.125 0.669 0.880  -0.02
Al: 0.000 0.000 0.500  0.01
Al: 0.000 0.000 0.000  0.01
Mo: 0.325 0.675 0.250  1.95
Mo: 0.675 0.325 0.750  1.95
B: 0.664 0.336 0.250  0.01
B: 0.336 0.664 0.750  0.01